Entry from Alexandria: crystalline Li2ZnO at its relaxed geometry (GGA-PBE).

Summary:
space-group type = I4_1/amd
ρ = 2.23 g/cm³
raw formation energy = -0.983 eV/atom
magnetic moment = 0.00 μB/cell
polymorph energy (0 for the lowest one) = 0.0000 eV/atom
E_tot = -0.257 Ry/atom

abc: 5.8506 5.8506 8.2927
angles: 90.00 90.00 90.00
Element x y z (fractional)
Li (0.0000, 0.0000, 0.0000)
Li (0.0000, 0.5000, 0.0000)
Li (0.2500, 0.2500, 0.7500)
Li (0.2500, 0.7500, 0.2500)
Li (0.5000, 0.0000, 0.5000)
Li (0.5000, 0.5000, 0.5000)
Li (0.7500, 0.2500, 0.7500)
Li (0.7500, 0.7500, 0.2500)
Zn (0.0000, 0.2500, 0.3750)
Zn (0.0000, 0.7500, 0.6250)
Zn (0.5000, 0.2500, 0.1250)
Zn (0.5000, 0.7500, 0.8750)
O (0.0000, 0.2500, 0.8750)
O (0.0000, 0.7500, 0.1250)
O (0.5000, 0.2500, 0.6250)
O (0.5000, 0.7500, 0.3750)